#w
Below is a crystal of CaAsRuBr2 relaxed with PBEsol, with properties calculated at the SCAN level.

Calculated values
* calculated volume: 157 Å³/f.u.

a = 5.228 Å, b = 5.228 Å, c = 5.734 Å
α = 90.00°, β = 90.00°, γ = 90.00°
Each line ends with the local moment (μB).
Fractional coordinates of all 5 atoms:
1 Ru 0.500 0.500 0.500  2.96
2 As 0.000 0.000 0.500  0.64
3 Ca 0.000 0.000 0.000  0.01
4 Br 0.000 0.500 0.000  0.10
5 Br 0.500 0.000 0.000  0.10


#x
Below is a crystal of CaAsRuBr2 relaxed with PBEsol, with properties calculated at the SCAN level.

Calculated values
* calculated volume: 122 Å³/f.u.

a = 4.645 Å, b = 5.127 Å, c = 5.127 Å
α = 90.00°, β = 90.00°, γ = 90.00°
Fractional coordinates of all 5 atoms:
1 Ru 0.000 0.000 0.000
2 As 0.500 0.000 0.000
3 Ca 0.500 0.500 0.500
4 Br 0.000 0.000 0.500
5 Br 0.000 0.500 0.000


Which structure above is the least stable? It is #w.